A relaxed structure of PdPtF3, computed with PBE-GGA.

abc: 4.271 4.271 4.271
angles: 90.00 90.00 90.00
Last column: magnetic moment on the atom in μB.
Positions (direct):
F1 0.000 0.500 0.000  -0.01
F2 0.000 0.000 0.500  -0.01
Pd1 0.500 0.500 0.500  -0.57
Pt1 0.000 0.000 0.000  0.00
F3 0.500 0.000 0.000  0.00

## Properties
energy = -0.2764 Ry per atom
formation energy from raw total energies = -1.96 eV per formula unit
crystal system = cubic



A relaxed structure of PdPtF, computed with PBE-GGA.

abc: 2.815 4.746 13.099
angles: 90.00 90.00 90.00
Positions (direct):
F1 0.000 0.005 0.705
Pt1 0.000 0.760 0.547
F2 0.500 0.505 0.795
Pd1 0.500 0.356 0.635
Pt2 0.000 0.240 0.453
Pd2 0.000 0.144 0.135
Pd3 0.500 0.644 0.365
F3 0.000 0.995 0.295
F4 0.500 0.495 0.205
Pt3 0.500 0.740 0.047
Pt4 0.500 0.260 0.953
Pd4 0.000 0.856 0.865

## Properties
energy = -0.3446 Ry per atom
formation energy from raw total energies = -0.96 eV per formula unit
crystal system = orthorhombic



A relaxed structure of PdPt2F2, computed with PBE-GGA.

abc: 7.253 7.253 2.639
angles: 90.00 90.00 90.00
Last column: magnetic moment on the atom in μB.
Positions (direct):
Pt1 0.303 0.197 0.500  0.47
Pt2 0.197 0.697 0.500  0.45
F1 0.614 0.114 0.000  0.04
F2 0.386 0.886 0.000  0.04
F3 0.114 0.386 0.000  0.05
Pd1 0.000 0.000 0.000  0.34
Pt3 0.803 0.303 0.500  0.45
Pt4 0.697 0.803 0.500  0.47
Pd2 0.500 0.500 0.000  0.34
F4 0.886 0.614 0.000  0.05

## Properties
energy = -0.2956 Ry per atom
formation energy from raw total energies = 0.91 eV per formula unit
crystal system = tetragonal



A relaxed structure of PdPt3F, computed with PBE-GGA.

abc: 4.349 4.349 4.349
angles: 90.00 90.00 90.00
Last column: magnetic moment on the atom in μB.
Positions (direct):
Pd1 0.500 0.500 0.500  0.40
F1 0.000 0.000 0.000  0.09
Pt1 0.000 0.500 0.000  0.53
Pt2 0.000 0.000 0.500  0.35
Pt3 0.500 0.000 0.000  0.57

## Properties
energy = -0.3088 Ry per atom
formation energy from raw total energies = 4.18 eV per formula unit
crystal system = cubic



A relaxed structure of PdPtF6, computed with PBE-GGA.

abc: 5.662 5.662 5.662
angles: 54.51 54.51 54.51
Last column: magnetic moment on the atom in μB.
Positions (direct):
F1 0.732 0.420 0.109  0.07
Pt1 0.500 0.500 0.500  0.12
F2 0.891 0.268 0.580  0.07
F3 0.109 0.732 0.420  0.07
F4 0.580 0.891 0.268  0.07
F5 0.268 0.580 0.891  0.07
F6 0.420 0.109 0.732  0.07
Pd1 0.000 0.000 0.000  1.36

## Properties
energy = -0.3002 Ry per atom
formation energy from raw total energies = -10.22 eV per formula unit
crystal system = trigonal



A relaxed structure of PdPt3F, computed with PBE-GGA.

abc: 4.858 4.858 4.858
angles: 90.00 90.00 90.00
Last column: magnetic moment on the atom in μB.
Positions (direct):
F1 0.500 0.500 0.500  -0.03
Pt1 0.500 0.000 0.000  0.10
Pt2 0.000 0.500 0.000  0.25
Pt3 0.000 0.000 0.500  0.53
Pd1 0.000 0.000 0.000  0.43

## Properties
energy = -0.2659 Ry per atom
formation energy from raw total energies = 7.10 eV per formula unit
crystal system = cubic



A relaxed structure of PdPt3F6, computed with PBE-GGA.

abc: 5.590 7.170 5.610
angles: 118.10 99.42 117.13
Last column: magnetic moment on the atom in μB.
Positions (direct):
F1 0.879 0.264 0.120  0.06
F2 0.542 0.657 0.782  0.05
F3 0.788 0.171 0.558  0.00
Pt1 0.500 0.500 0.000  0.01
Pt2 0.000 0.500 0.000  0.04
Pd1 0.000 0.000 0.000  0.74
Pt3 0.000 0.000 0.500  0.11
F4 0.121 0.736 0.880  0.06
F5 0.458 0.343 0.218  0.05
F6 0.212 0.829 0.442  0.00

## Properties
energy = -0.3165 Ry per atom
formation energy from raw total energies = -8.52 eV per formula unit
crystal system = triclinic



A relaxed structure of Rb2PdPtF6, computed with PBE-GGA.

abc: 6.219 6.219 6.218
angles: 59.99 59.99 90.00
Positions (direct):
Rb1 0.250 0.750 0.500
Pt1 0.000 0.000 0.000
F1 0.760 0.760 0.000
F2 0.758 0.758 0.484
F3 0.240 0.760 0.000
F4 0.240 0.240 0.000
F5 0.242 0.242 0.516
Rb2 0.750 0.250 0.500
Pd1 0.500 0.500 0.000
F6 0.760 0.240 0.000

## Properties
energy = -0.3085 Ry per atom
formation energy from raw total energies = -17.57 eV per formula unit
crystal system = tetragonal



A relaxed structure of Pu2PdF11, computed with PBE-GGA.

abc: 8.754 8.685 8.685
angles: 70.25 59.74 59.74
Last column: magnetic moment on the atom in μB.
Positions (direct):
F1 0.637 0.228 0.044  -0.05
F2 0.175 0.533 0.208  -0.02
F3 0.668 0.302 0.698  -0.03
F4 0.915 0.792 0.467  -0.02
F5 0.832 0.802 0.198  -0.03
Pu1 0.124 0.804 0.196  3.58
F6 0.863 0.456 0.272  -0.05
F7 0.825 0.467 0.792  -0.02
F8 0.332 0.698 0.302  -0.03
Pu2 0.376 0.304 0.696  3.58
F9 0.168 0.198 0.802  -0.03
Pd1 0.250 0.250 0.250  0.74
F10 0.415 0.967 0.292  -0.02
F11 0.363 0.772 0.956  -0.05
F12 0.000 0.000 0.000  -0.03
F13 0.408 0.272 0.456  -0.05
Pd2 0.750 0.750 0.750  0.74
F14 0.137 0.544 0.728  -0.05
F15 0.908 0.956 0.772  -0.05
F16 0.500 0.500 0.500  -0.03
Pu3 0.624 0.696 0.304  3.58
F17 0.675 0.708 0.033  -0.02
F18 0.092 0.044 0.228  -0.05
F19 0.585 0.033 0.708  -0.02
F20 0.085 0.208 0.533  -0.02
Pu4 0.876 0.196 0.804  3.58
F21 0.325 0.292 0.967  -0.02
F22 0.592 0.728 0.544  -0.05

## Properties
energy = -0.4873 Ry per atom
formation energy from raw total energies = -38.39 eV per formula unit
crystal system = orthorhombic



A relaxed structure of Pu2PdF, computed with PBE-GGA.

abc: 3.330 3.330 8.763
angles: 79.05 79.05 60.00
Last column: magnetic moment on the atom in μB.
Positions (direct):
Pu1 0.256 0.256 0.232  5.74
F1 0.000 0.000 0.000  0.01
Pu2 0.744 0.744 0.768  5.74
Pd1 0.500 0.500 0.500  0.11

## Properties
energy = -0.7310 Ry per atom
formation energy from raw total energies = -4.05 eV per formula unit
crystal system = trigonal



A relaxed structure of Pu2PdF, computed with PBE-GGA.

abc: 3.163 3.163 7.917
angles: 90.00 90.00 90.00
Last column: magnetic moment on the atom in μB.
Positions (direct):
Pu1 0.000 0.000 0.742  5.78
F1 0.500 0.500 0.500  0.01
Pd1 0.500 0.500 0.000  0.09
Pu2 0.000 0.000 0.258  5.78

## Properties
energy = -0.7334 Ry per atom
formation energy from raw total energies = -4.19 eV per formula unit
crystal system = tetragonal



A relaxed structure of PuTlPdF6, computed with PBE-GGA.

abc: 6.064 6.064 12.008
angles: 90.00 90.00 120.00
Last column: magnetic moment on the atom in μB.
Positions (direct):
F1 0.973 0.625 0.352  -0.05
F2 0.027 0.652 0.852  -0.05
F3 0.973 0.348 0.148  -0.05
F4 0.375 0.027 0.148  -0.05
F5 0.652 0.625 0.148  -0.05
F6 0.348 0.375 0.852  -0.05
Tl1 0.000 0.000 0.000  -0.01
Pu1 0.333 0.667 0.750  4.27
F7 0.652 0.027 0.352  -0.05
Pd1 0.667 0.333 0.750  -0.96
F8 0.027 0.375 0.648  -0.05
F9 0.348 0.973 0.648  -0.05
F10 0.625 0.652 0.648  -0.05
F11 0.625 0.973 0.852  -0.05
Tl2 0.000 0.000 0.500  -0.01
Pd2 0.333 0.667 0.250  -0.96
Pu2 0.667 0.333 0.250  4.27
F12 0.375 0.348 0.352  -0.05

## Properties
energy = -0.4466 Ry per atom
formation energy from raw total energies = -21.57 eV per formula unit
crystal system = trigonal



A relaxed structure of RbPd4F12, computed with PBE-GGA.

abc: 7.058 7.058 7.058
angles: 109.47 109.47 109.47
Positions (direct):
Pd1 0.500 0.500 0.500
F1 0.723 0.507 0.785
F2 0.277 0.062 0.785
Pd2 0.000 0.000 0.500
F3 0.507 0.785 0.723
F4 0.493 0.215 0.277
F5 0.062 0.785 0.277
Pd3 0.000 0.500 0.000
F6 0.277 0.493 0.215
Rb1 0.000 0.000 0.000
F7 0.723 0.938 0.215
F8 0.215 0.723 0.938
F9 0.215 0.277 0.493
Pd4 0.500 0.000 0.000
F10 0.785 0.277 0.062
F11 0.785 0.723 0.507
F12 0.938 0.215 0.723

## Properties
energy = -0.2960 Ry per atom
formation energy from raw total energies = -24.28 eV per formula unit
crystal system = cubic



A relaxed structure of RbPd2F, computed with PBE-GGA.

abc: 4.794 4.794 4.794
angles: 60.00 60.00 60.00
Positions (direct):
Pd1 0.750 0.750 0.750
Rb1 0.500 0.500 0.500
F1 0.000 0.000 0.000
Pd2 0.250 0.250 0.250

## Properties
energy = -0.2316 Ry per atom
formation energy from raw total energies = 0.62 eV per formula unit
crystal system = cubic



A relaxed structure of Rb3Pd2F7, computed with PBE-GGA.

abc: 4.311 4.417 11.553
angles: 101.02 90.00 90.00
Positions (direct):
F1 0.500 0.905 0.811
Rb1 0.500 0.319 0.638
F2 0.000 0.190 0.379
Pd1 0.000 0.095 0.190
F3 0.000 0.406 0.812
Pd2 0.000 0.905 0.810
F4 0.000 0.810 0.621
F5 0.000 0.000 0.000
F6 0.500 0.095 0.189
Rb2 0.500 0.681 0.362
F7 0.000 0.594 0.188
Rb3 0.500 0.500 0.000

## Properties
energy = -0.3067 Ry per atom
formation energy from raw total energies = -23.69 eV per formula unit
crystal system = orthorhombic



A relaxed structure of RbPdF, computed with PBE-GGA.

abc: 13.214 4.750 4.750
angles: 119.80 136.04 43.96
Positions (direct):
Rb1 0.161 0.402 0.598
Pd1 0.856 0.143 0.857
F1 0.139 0.097 0.903
F2 0.566 0.864 0.136
Pd2 0.854 0.479 0.521
Rb2 0.552 0.217 0.783

## Properties
energy = -0.2856 Ry per atom
formation energy from raw total energies = -3.62 eV per formula unit
crystal system = monoclinic



A relaxed structure of Rb12Pd3F5, computed with PBE-GGA.

abc: 15.748 15.748 15.748
angles: 109.47 109.47 109.47
Positions (direct):
Rb1 0.821 0.901 0.026
Pd1 0.125 0.875 0.750
F1 0.875 0.250 0.625
Rb2 0.179 0.099 0.974
Rb3 0.974 0.599 0.179
Rb4 0.920 0.099 0.624
Rb5 0.901 0.821 0.526
F2 0.125 0.375 0.250
Pd2 0.125 0.250 0.875
Rb6 0.599 0.974 0.679
Rb7 0.679 0.204 0.580
Rb8 0.420 0.124 0.599
Pd3 0.250 0.125 0.375
Rb9 0.296 0.876 0.974
Pd4 0.750 0.875 0.625
Pd5 0.625 0.375 0.750
Rb10 0.679 0.474 0.599
Rb11 0.599 0.624 0.420
Rb12 0.920 0.821 0.796
Rb13 0.974 0.376 0.296
Pd6 0.750 0.375 0.125
Rb14 0.204 0.679 0.080
Rb15 0.204 0.526 0.624
Pd7 0.375 0.625 0.250
Rb16 0.526 0.204 0.124
Rb17 0.401 0.026 0.321
Rb18 0.580 0.876 0.401
Rb19 0.420 0.296 0.321
Rb20 0.704 0.124 0.026
Pd8 0.375 0.750 0.625
Rb21 0.901 0.080 0.876
Rb22 0.474 0.796 0.876
F3 0.000 0.000 0.500
Rb23 0.099 0.179 0.474
F4 0.125 0.750 0.375
Rb24 0.876 0.580 0.901
Pd9 0.875 0.125 0.250
Rb25 0.821 0.920 0.296
Rb26 0.080 0.179 0.204
Rb27 0.624 0.599 0.920
Rb28 0.080 0.901 0.376
F5 0.250 0.375 0.625
Rb29 0.124 0.420 0.099
Pd10 0.250 0.625 0.875
F6 0.375 0.125 0.750
Rb30 0.401 0.376 0.580
F7 0.750 0.625 0.375
Rb31 0.796 0.321 0.920
Rb32 0.321 0.796 0.420
Rb33 0.526 0.321 0.901
Rb34 0.624 0.026 0.204
F8 0.250 0.875 0.125
F9 0.000 0.500 0.500
Rb35 0.876 0.296 0.474
F10 0.500 0.000 0.500
F11 0.750 0.125 0.875
F12 0.625 0.875 0.250
Rb36 0.179 0.080 0.704
Rb37 0.376 0.974 0.796
F13 0.500 0.500 0.500
F14 0.000 0.000 0.000
Pd11 0.875 0.750 0.125
F15 0.000 0.500 0.000
F16 0.875 0.625 0.750
F17 0.375 0.250 0.125
Rb38 0.099 0.920 0.124
F18 0.500 0.500 0.000
Rb39 0.704 0.580 0.179
Rb40 0.796 0.474 0.376
Rb41 0.296 0.420 0.821
Rb42 0.026 0.624 0.704
Rb43 0.026 0.401 0.821
F19 0.625 0.750 0.875
Rb44 0.124 0.704 0.526
Rb45 0.474 0.679 0.099
Rb46 0.580 0.704 0.679
Rb47 0.321 0.526 0.401
Pd12 0.625 0.250 0.375
Rb48 0.376 0.401 0.080
F20 0.500 0.000 0.000

## Properties
energy = -0.2253 Ry per atom
formation energy from raw total energies = -24.77 eV per formula unit
crystal system = cubic



A relaxed structure of Rb3Pd2F7, computed with PBE-GGA.

abc: 4.371 4.371 11.659
angles: 100.80 100.80 90.00
Positions (direct):
Rb1 0.500 0.500 0.000
Pd1 0.904 0.904 0.809
F1 0.905 0.405 0.810
Rb2 0.683 0.683 0.367
Rb3 0.317 0.317 0.633
F2 0.405 0.905 0.810
F3 0.808 0.808 0.616
F4 0.000 0.000 0.000
Pd2 0.096 0.096 0.191
F5 0.095 0.595 0.190
F6 0.192 0.192 0.384
F7 0.595 0.095 0.190

## Properties
energy = -0.3087 Ry per atom
formation energy from raw total energies = -24.01 eV per formula unit
crystal system = tetragonal



A relaxed structure of RbPdF, computed with PBE-GGA.

abc: 4.894 4.894 8.516
angles: 90.00 90.00 120.00
Positions (direct):
F1 0.000 0.000 0.750
Rb1 0.333 0.667 0.250
Pd1 0.000 0.000 0.500
F2 0.000 0.000 0.250
Pd2 0.000 0.000 0.000
Rb2 0.667 0.333 0.750

## Properties
energy = -0.2695 Ry per atom
formation energy from raw total energies = -2.97 eV per formula unit
crystal system = hexagonal